Record 1
The following is a PBE-GGA calculation of SmEr2N after structural relaxation, from Alexandria via LeMat-Bulk.

Results
As for the energy above the most stable polymorph in this dataset: 0.510 eV/atom. The calculation puts the final energy at -22.97 eV per cell. For the formation energy (no corrections), the calculation gives -200 meV/atom. The value obtained for the mass density is 9.5 g cm⁻³.

Lattice parameters (Å, degrees): 3.1525 3.1525 8.8019 90.00 90.00 90.00
With the nearest neighbours (Å) after each atom.
Fractional positions:
N: 0.5000 0.5000 0.0000  8 Er 2.64
Sm: 0.5000 0.5000 0.5000  4 Sm 3.15
Er: 0.0000 0.0000 0.8404  4 N 2.64, 1 Er 2.81
Er: 0.0000 0.0000 0.1596  4 N 2.64, 1 Er 2.81

Record 2
The following is a PBE-GGA calculation of Sm5ErN6 after structural relaxation, from Alexandria via LeMat-Bulk.

Results
The calculation puts the final energy at -96.37 eV per cell. For the formation energy (no corrections), the calculation gives -1522 meV/atom. The value obtained for the mass density is 8.7 g cm⁻³.

Lattice parameters (Å, degrees): 6.1691 6.1704 6.1711 60.00 80.41 70.54
With the nearest neighbours (Å) after each atom.
Fractional positions:
N: 0.7535 0.0822 0.3272  1 Er 2.48, 5 Sm 2.52-2.57
N: 0.2465 0.5906 0.3272  1 Er 2.48, 5 Sm 2.52-2.57
N: 0.2471 0.2448 0.0000  1 Er 2.48, 5 Sm 2.51-2.56
N: 0.7529 0.7552 0.0000  1 Er 2.48, 5 Sm 2.51-2.56
N: 0.7535 0.4094 0.6728  1 Er 2.48, 5 Sm 2.52-2.57
N: 0.2465 0.9178 0.6728  1 Er 2.48, 5 Sm 2.52-2.57
Sm: 0.5000 0.1657 0.6685  6 N 2.51-2.57
Sm: 0.0000 0.3332 0.3337  6 N 2.52-2.53
Sm: 0.5000 0.5000 0.0000  6 N 2.52-2.56
Sm: 0.0000 0.6668 0.6663  6 N 2.52-2.53
Sm: 0.5000 0.8343 0.3315  6 N 2.51-2.57
Er: 0.0000 0.0000 0.0000  6 N 2.48

Record 3
The following is a PBE-GGA calculation of Sm3ErN after structural relaxation, from Alexandria via LeMat-Bulk.

Results
The calculation puts the final energy at -29.47 eV per cell. For the formation energy (no corrections), the calculation gives -484 meV/atom. The value obtained for the mass density is 8.1 g cm⁻³.

Lattice parameters (Å, degrees): 5.0675 5.0675 5.0675 90.00 90.00 90.00
With the nearest neighbours (Å) after each atom.
Fractional positions:
N: 0.0000 0.0000 0.0000  6 Sm 2.53
Sm: 0.0000 0.5000 0.0000  2 N 2.53
Sm: 0.0000 0.0000 0.5000  2 N 2.53
Sm: 0.5000 0.0000 0.0000  2 N 2.53
Er: 0.5000 0.5000 0.5000  12 Sm 3.58

Record 4
The following is a PBE-GGA calculation of Sm2ErN3 after structural relaxation, from Alexandria via LeMat-Bulk.

Results
The calculation puts the final energy at -48.34 eV per cell. For the formation energy (no corrections), the calculation gives -1560 meV/atom. The value obtained for the mass density is 9.0 g cm⁻³.

Lattice parameters (Å, degrees): 3.5404 3.5404 7.9107 102.94 102.94 89.98
With the nearest neighbours (Å) after each atom.
Fractional positions:
Sm: 0.0984 0.1000 0.2024  6 N 2.46-2.61
Sm: 0.7700 0.7716 0.5456  6 N 2.46-2.61
Er: 0.4343 0.4356 0.8740  6 N 2.43-2.50
N: 0.9341 0.9359 0.8740  2 Sm 2.46, 4 Er 2.50
N: 0.2723 0.2736 0.5500  1 Er 2.43, 5 Sm 2.50-2.61
N: 0.5962 0.5975 0.1979  1 Er 2.43, 5 Sm 2.50-2.61

Record 5
The following is a PBE-GGA calculation of SmErN2 after structural relaxation, from Alexandria via LeMat-Bulk.

Results
The calculation puts the final energy at -30.99 eV per cell. For the formation energy (no corrections), the calculation gives -1265 meV/atom. The value obtained for the mass density is 9.2 g cm⁻³.

Lattice parameters (Å, degrees): 3.4472 3.4472 6.0675 90.00 90.00 120.00
With the nearest neighbours (Å) after each atom.
Fractional positions:
Sm: 0.0000 0.5000 0.5000  6 N 2.54
Er: 0.0000 0.5000 0.0000  6 N 2.47
N: 0.6667 0.8333 0.7594  3 Er 2.47, 3 Sm 2.54
N: 0.3333 0.1667 0.2406  3 Er 2.47, 3 Sm 2.54

Record 6
The following is a PBE-GGA calculation of Sm2ErSnN4 after structural relaxation, from Alexandria via LeMat-Bulk.

Results
The calculation puts the final energy at -59.18 eV per cell. For the formation energy (no corrections), the calculation gives -985 meV/atom. The value obtained for the mass density is 8.7 g cm⁻³.

Lattice parameters (Å, degrees): 3.5159 6.1155 6.0462 109.86 90.00 90.00
With the nearest neighbours (Å) after each atom.
Fractional positions:
Sm: 0.5000 0.0000 0.5000  6 N 2.52-2.54
Sm: 0.0000 0.5000 0.5000  6 N 2.46-2.48
Er: 0.5000 0.5000 0.0000  6 N 2.44
Sn: 0.0000 0.0000 0.0000  6 N 2.47-2.51
N: 0.5000 0.2538 0.2442  1 Er 2.44, 2 Sn 2.47, 3 Sm 2.48-2.54
N: 0.5000 0.7462 0.7558  1 Er 2.44, 2 Sn 2.47, 3 Sm 2.48-2.54
N: 0.0000 0.2599 0.7549  2 Er 2.44, 3 Sm 2.46-2.52, 1 Sn 2.51
N: 0.0000 0.7401 0.2451  2 Er 2.44, 3 Sm 2.46-2.52, 1 Sn 2.51

Record 7
The following is a PBE-GGA calculation of SmEr2SnN4 after structural relaxation, from Alexandria via LeMat-Bulk.

Results
The calculation puts the final energy at -116.74 eV per cell. For the formation energy (no corrections), the calculation gives -903 meV/atom. The value obtained for the mass density is 8.9 g cm⁻³.

Lattice parameters (Å, degrees): 3.4417 6.1497 12.1145 90.00 90.00 106.25
With the nearest neighbours (Å) after each atom.
Fractional positions:
Sm: 0.1377 0.2753 0.7500  6 N 2.56-2.64
Sm: 0.8623 0.7247 0.2500  6 N 2.56-2.64
Er: 0.3702 0.7404 0.5290  5 N 2.27-2.53
Er: 0.6298 0.2596 0.0290  5 N 2.27-2.53
Er: 0.6298 0.2596 0.4710  5 N 2.27-2.53
Er: 0.3702 0.7404 0.9710  5 N 2.27-2.53
Sn: 0.8701 0.7402 0.7500  4 N 2.14-2.15
Sn: 0.1299 0.2598 0.2500  4 N 2.14-2.15
N: 0.2557 0.5114 0.1213  1 Sn 2.15, 1 Er 2.27
N: 0.7443 0.4886 0.6213  1 Sn 2.15, 1 Er 2.27
N: 0.7443 0.4886 0.8787  1 Sn 2.15, 1 Er 2.27
N: 0.2557 0.5114 0.3787  1 Sn 2.15, 1 Er 2.27
N: 0.0000 0.0000 0.5000  4 Er 2.33
N: 0.0000 0.0000 0.0000  4 Er 2.33
N: 0.4772 0.9545 0.7500  2 Sn 2.14
N: 0.5228 0.0455 0.2500  2 Sn 2.14

Record 8
The following is a PBE-GGA calculation of Sm2ErTaN4 after structural relaxation, from Alexandria via LeMat-Bulk.

Results
The calculation puts the final energy at -70.81 eV per cell. For the formation energy (no corrections), the calculation gives -1457 meV/atom. The value obtained for the mass density is 10.5 g cm⁻³.

Lattice parameters (Å, degrees): 3.3728 5.8567 5.9442 108.85 90.00 90.00
With the nearest neighbours (Å) after each atom.
Fractional positions:
Sm: 0.5000 0.0000 0.5000  6 N 2.45-2.46
Sm: 0.0000 0.5000 0.5000  6 N 2.56-2.60
Er: 0.5000 0.5000 0.0000  6 N 2.37
Ta: 0.0000 0.0000 0.0000  6 N 2.20-2.26
N: 0.5000 0.2235 0.2152  2 Ta 2.26, 1 Er 2.37, 1 Sm 2.45
N: 0.5000 0.7765 0.7848  2 Ta 2.26, 1 Er 2.37, 1 Sm 2.45
N: 0.0000 0.2375 0.7798  1 Ta 2.20, 2 Er 2.37, 2 Sm 2.46
N: 0.0000 0.7625 0.2202  1 Ta 2.20, 2 Er 2.37, 2 Sm 2.46

Record 9
The following is a PBE-GGA calculation of SmEr2TaN4 after structural relaxation, from Alexandria via LeMat-Bulk.

Results
The calculation puts the final energy at -70.88 eV per cell. For the formation energy (no corrections), the calculation gives -1485 meV/atom. The value obtained for the mass density is 11.1 g cm⁻³.

Lattice parameters (Å, degrees): 3.3548 5.8647 5.8109 109.11 90.00 90.00
With the nearest neighbours (Å) after each atom.
Fractional positions:
Sm: 0.5000 0.5000 0.0000  6 N 2.42-2.43
Er: 0.5000 0.0000 0.5000  6 N 2.34-2.35
Er: 0.0000 0.5000 0.5000  6 N 2.48-2.53
Ta: 0.0000 0.0000 0.0000  6 N 2.22-2.29
N: 0.5000 0.2256 0.2339  2 Ta 2.29, 3 Er 2.34-2.48, 1 Sm 2.42
N: 0.5000 0.7744 0.7661  2 Ta 2.29, 3 Er 2.34-2.48, 1 Sm 2.42
N: 0.0000 0.2252 0.7577  1 Ta 2.22, 2 Er 2.35, 2 Sm 2.43
N: 0.0000 0.7748 0.2423  1 Ta 2.22, 2 Er 2.35, 2 Sm 2.43

Record 10
The following is a PBE-GGA calculation of Tb2SmErN4 after structural relaxation, from Alexandria via LeMat-Bulk.

Results
The calculation puts the final energy at -64.93 eV per cell. For the formation energy (no corrections), the calculation gives -1635 meV/atom. The value obtained for the mass density is 9.4 g cm⁻³.

Lattice parameters (Å, degrees): 3.5052 6.0696 6.0683 109.44 90.00 90.00
With the nearest neighbours (Å) after each atom.
Fractional positions:
Tb: 0.5000 0.0000 0.5000  6 N 2.46
Tb: 0.0000 0.5000 0.5000  6 N 2.49
Sm: 0.5000 0.5000 0.0000  6 N 2.50
Er: 0.0000 0.0000 0.0000  6 N 2.46-2.47
N: 0.5000 0.2454 0.2492  3 Tb 2.46-2.49, 2 Er 2.47, 1 Sm 2.50
N: 0.5000 0.7546 0.7508  3 Tb 2.46-2.49, 2 Er 2.47, 1 Sm 2.50
N: 0.0000 0.2448 0.7476  3 Tb 2.46-2.49, 1 Er 2.46, 2 Sm 2.50
N: 0.0000 0.7552 0.2524  3 Tb 2.46-2.49, 1 Er 2.46, 2 Sm 2.50

Record 11
The following is a PBE-GGA calculation of TbSmEr2N4 after structural relaxation, from Alexandria via LeMat-Bulk.

Results
The calculation puts the final energy at -65.10 eV per cell. For the formation energy (no corrections), the calculation gives -1665 meV/atom. The value obtained for the mass density is 9.7 g cm⁻³.

Lattice parameters (Å, degrees): 3.4864 6.0367 6.0388 109.43 90.00 90.00
With the nearest neighbours (Å) after each atom.
Fractional positions:
Tb: 0.0000 0.0000 0.0000  6 N 2.48
Sm: 0.5000 0.5000 0.0000  6 N 2.50
Er: 0.5000 0.0000 0.5000  6 N 2.43
Er: 0.0000 0.5000 0.5000  6 N 2.45
N: 0.5000 0.2495 0.2560  3 Er 2.43-2.45, 2 Tb 2.48, 1 Sm 2.50
N: 0.5000 0.7505 0.7440  3 Er 2.43-2.45, 2 Tb 2.48, 1 Sm 2.50
N: 0.0000 0.2449 0.7421  3 Er 2.43-2.45, 1 Tb 2.48, 2 Sm 2.50
N: 0.0000 0.7551 0.2579  3 Er 2.43-2.45, 1 Tb 2.48, 2 Sm 2.50

Record 12
The following is a PBE-GGA calculation of TbSm2ErN4 after structural relaxation, from Alexandria via LeMat-Bulk.

Results
The calculation puts the final energy at -64.65 eV per cell. For the formation energy (no corrections), the calculation gives -1590 meV/atom. The value obtained for the mass density is 9.1 g cm⁻³.

Lattice parameters (Å, degrees): 3.5263 6.1049 6.1078 109.43 90.00 90.00
With the nearest neighbours (Å) after each atom.
Fractional positions:
Tb: 0.5000 0.5000 0.0000  6 N 2.47-2.48
Sm: 0.5000 0.0000 0.5000  6 N 2.51
Sm: 0.0000 0.5000 0.5000  6 N 2.52-2.53
Er: 0.0000 0.0000 0.0000  6 N 2.46
N: 0.5000 0.2455 0.2418  2 Er 2.46, 1 Tb 2.47, 3 Sm 2.51-2.53
N: 0.5000 0.7545 0.7582  2 Er 2.46, 1 Tb 2.47, 3 Sm 2.51-2.53
N: 0.0000 0.2505 0.7570  1 Er 2.46, 2 Tb 2.48, 3 Sm 2.51-2.52
N: 0.0000 0.7495 0.2430  1 Er 2.46, 2 Tb 2.48, 3 Sm 2.51-2.52